ErInPdRu: optimized geometry, PBE.

Structure (extended XYZ):
```
4
Lattice="-3.8651 2.3663 1.2764 -2.3978 -1.3022 3.8369 0.0633 2.7115 3.8485" Properties=species:S:1:pos:R:3 pbc="T T T"
Ru -4.6496 2.8318 6.7213
In 0.0000 0.0000 0.0000
Pd -1.5499 0.9439 2.2404
Er -3.0998 1.8879 4.4809
```

## Properties
- Excess energy over the best structure of this formula in the dataset: 35 meV per atom
- Total magnetic moment: 0.0 μB/f.u.
- DOS at the Fermi energy: 1.21 states/eV/f.u.
- Raw total energy: -5.976 eV per atom

***

Al2SiTe: optimized geometry, PBE.

Structure (extended XYZ):
```
4
Lattice="3.3921 0.0000 0.0000 0.0000 3.3921 0.0000 0.0000 0.0000 6.8035" Properties=species:S:1:pos:R:3 pbc="T T T"
Si 1.6961 1.6961 1.7009
Te 1.6961 1.6961 5.1026
Al 0.0000 0.0000 0.2824
Al 0.0000 0.0000 3.1193
```

## Properties
- Excess energy over the best structure of this formula in the dataset: 403 meV per atom
- Total magnetic moment: 0.0 μB/f.u.
- DOS at the Fermi energy: 1.36 states/eV/f.u.
- Raw total energy: -3.752 eV per atom
- Formation energy without anion corrections: 0.2608 eV/atom